A relaxed Ho3BiAsN crystal, computed with PBE.

It has space group P2_1/m (No. 11), with a = 8.856 Å, b = 4.100 Å, c = 9.201 Å, α = 90.00°, β = 100.71° and γ = 90.00°. The asymmetric unit holds Ho at (0.085, 0.250, 0.357), Ho at (0.350, 0.250, 0.990), Ho at (0.377, 0.750, 0.669), Bi at (0.330, 0.750, 0.291), As at (0.144, 0.250, 0.668) and N at (0.408, 0.750, 0.904).

The total DFT energy (no corrections) is -6.321 eV per atom. The uncorrected formation energy comes out at -7.336 eV per formula unit. The value obtained for the density is 8.02 g/cm3.

=====

A relaxed Ho4Bi2AsP crystal, computed with PBE.

It has space group P2/m (No. 10), with a = 7.285 Å, b = 4.196 Å, c = 7.479 Å, α = 90.00°, β = 108.85° and γ = 90.00°. The asymmetric unit holds Ho at (0.236, 0.000, 0.220), Ho at (0.255, 0.500, 0.778), Bi at (0.000, 0.000, 0.500), Bi at (0.500, 0.500, 0.500), As at (0.500, 0.000, 0.000) and P at (0.000, 0.500, 0.000).

The total DFT energy (no corrections) is -5.683 eV per atom. The value obtained for the density is 9.08 g/cm3. The value obtained for the formation energy is -1.167 eV/atom.

=====

A relaxed Ho6BiAs2P3 crystal, computed with PBE.

It has space group C2/m (No. 12), with a = 17.907 Å, b = 4.075 Å, c = 8.256 Å, α = 90.00°, β = 103.56° and γ = 90.00°. The asymmetric unit holds Ho at (0.001, 0.000, 0.228), Ho at (0.167, 0.500, 0.087), Ho at (0.175, 0.500, 0.584), Bi at (0.000, 0.500, 0.500), As at (0.167, 0.000, 0.834), P at (0.000, 0.500, 0.000) and P at (0.166, 0.000, 0.332).

The total DFT energy (no corrections) is -6.160 eV per atom. The value obtained for the density is 8.17 g/cm3. The value obtained for the formation energy is -1.420 eV/atom.

=====

A relaxed HoBi2As2Pd7 crystal, computed with PBE.

It has space group C2/m (No. 12), with a = 5.796 Å, b = 5.768 Å, c = 14.302 Å, α = 90.00°, β = 96.45° and γ = 90.00°. The asymmetric unit holds Ho at (0.000, 0.000, 0.000), Bi at (0.126, 0.000, 0.391), As at (0.071, 0.500, 0.250), Pd at (0.000, 0.500, 0.000), Pd at (0.147, 0.500, 0.426) and Pd at (0.208, 0.250, 0.852).

The total DFT energy (no corrections) is -5.311 eV per atom. The value obtained for the density is 10.33 g/cm3. The value obtained for the formation energy is -0.479 eV/atom.

=====

A relaxed Ho3BiAs2Rh9 crystal, computed with PBE.

It has space group P-3m1 (No. 164), with a = 6.2277 Å, b = 6.2277 Å, c = 9.5421 Å, α = 90.00°, β = 90.00° and γ = 120.00°. The asymmetric unit holds Ho at (0.0000, 0.0000, 0.0000), Ho at (0.3333, 0.6667, 0.7557), Bi at (0.0000, 0.0000, 0.5000), As at (0.3333, 0.6667, 0.1660), Rh at (0.0000, 0.5000, 0.0000) and Rh at (0.1425, 0.2850, 0.2659).

The total DFT energy (no corrections) is -6.610 eV per atom. The value obtained for the density is 9.22 g/cm3. The value obtained for the formation energy is -0.405 eV/atom.

=====

A relaxed Ho6BiAs2S3 crystal, computed with PBE.

It has space group C2/m (No. 12), with a = 17.671 Å, b = 4.060 Å, c = 8.127 Å, α = 90.00°, β = 102.82° and γ = 90.00°. The asymmetric unit holds Ho at (0.000, 0.000, 0.225), Ho at (0.167, 0.500, 0.083), Ho at (0.176, 0.500, 0.590), Bi at (0.000, 0.500, 0.500), As at (0.167, 0.000, 0.834), S at (0.000, 0.500, 0.000) and S at (0.165, 0.000, 0.332).

The total DFT energy (no corrections) is -6.026 eV per atom. The uncorrected formation energy comes out at -19.285 eV per formula unit. The value obtained for the density is 8.44 g/cm3.